1.
An optimized crystal structure of Tm3PbAu2, computed with GGA-PBE.

Cell: 3.4881 3.4881 11.9178 Å, 90.00 90.00 90.00°
With the nearest neighbours (Å) after each atom.
Space group P4/mmm (No. 123)
Unique sites:
Tm 0.0000 0.0000 0.0000 [1 per cell]  8 Au 3.07
Tm 0.0000 0.0000 0.3045 [2 per cell]  4 Au 3.06, 4 Pb 3.39
Pb 0.5000 0.5000 0.5000 [1 per cell]  8 Tm 3.39, 4 Pb 3.49
Au 0.5000 0.5000 0.1530 [2 per cell]  8 Tm 3.06-3.07

Output
Formation enthalpy at 0 K = -0.712 eV per atom
Total moment = 0.0 μB per cell



2.
An optimized crystal structure of GdCuHgPb, computed with GGA-PBE.

Cell: 7.2224 7.2224 7.2224 Å, 90.00 90.00 90.00°
With the nearest neighbours (Å) after each atom.
Space group F-43m (No. 216)
Unique sites:
Gd 0.0000 0.0000 0.0000 [4 per cell]  4 Hg 3.13, 4 Cu 3.13
Cu 0.2500 0.2500 0.2500 [4 per cell]  4 Gd 3.13, 4 Pb 3.13
Hg 0.2500 0.2500 0.7500 [4 per cell]  4 Gd 3.13, 4 Pb 3.13
Pb 0.0000 0.0000 0.5000 [4 per cell]  4 Hg 3.13, 4 Cu 3.13

Output
Formation enthalpy at 0 K = -0.178 eV per atom
Total moment = 28.1 μB per cell



3.
An optimized crystal structure of Pu2Np3UN6, computed with GGA-PBE.

Cell: 5.9317 10.2720 6.0239 Å, 90.00 109.19 90.00°
With the nearest neighbours (Å) after each atom.
Space group C2/m (No. 12)
Unique sites:
Pu 0.0000 0.1665 0.0000 [4 per cell]  6 N 2.47-2.48
Np 0.0000 0.0000 0.5000 [2 per cell]  6 N 2.40-2.47
Np 0.0000 0.3305 0.5000 [4 per cell]  6 N 2.40-2.46
U 0.0000 0.5000 0.0000 [2 per cell]  6 N 2.39-2.40
N 0.2362 0.5000 0.7438 [4 per cell]  1 U 2.40, 3 Np 2.41-2.47, 2 Pu 2.48
N 0.2458 0.3387 0.2532 [8 per cell]  1 U 2.39, 3 Np 2.40-2.46, 2 Pu 2.47

Output
Total moment = 1.5 μB per cell
ΔE_f (raw) = -1.176 eV/atom



4.
An optimized crystal structure of TbTiH3, computed with GGA-PBE.

Cell: 3.7331 3.7331 3.7331 Å, 90.00 90.00 90.00°
With the nearest neighbours (Å) after each atom.
Space group Pm-3m (No. 221)
Unique sites:
Tb 0.0000 0.0000 0.0000 [1 per cell]  12 H 2.64
Ti 0.5000 0.5000 0.5000 [1 per cell]  6 H 1.87
H 0.0000 0.5000 0.5000 [3 per cell]  2 Ti 1.87

Output
Total moment = 0.0 μB per cell
Uncorrected energy = -4.892 eV per atom